VASP calculation (PBE) on SrAl3Ag10 after structural relaxation.

The structure in CIF format:
```
data_SrAl3Ag10
_chemical_formula_sum 'Sr2 Al6 Ag20'
_cell_length_a 9.325
_cell_length_b 9.325
_cell_length_c 9.325
_cell_angle_alpha 60.00
_cell_angle_beta 60.00
_cell_angle_gamma 60.00
_symmetry_space_group_name_H-M 'P 1'
_symmetry_Int_Tables_number 1
loop_
_symmetry_equiv_pos_as_xyz
'x,y,z'
loop_
_atom_site_label
_atom_site_fract_x
_atom_site_fract_y
_atom_site_fract_z
_atom_site_occupancy
Ag1 0.347 0.000 0.653 1
Ag2 0.613 0.162 0.613 1
Ag3 0.653 0.000 0.347 1
Ag4 0.613 0.613 0.162 1
Ag5 0.387 0.387 0.838 1
Ag6 0.000 0.653 0.347 1
Ag7 0.838 0.387 0.387 1
Ag8 0.162 0.613 0.613 1
Ag9 0.387 0.387 0.387 1
Ag10 0.000 0.347 0.000 1
Ag11 0.000 0.653 0.000 1
Ag12 0.000 0.000 0.347 1
Ag13 0.653 0.347 0.000 1
Ag14 0.000 0.347 0.653 1
Ag15 0.387 0.838 0.387 1
Ag16 0.347 0.653 0.000 1
Ag17 0.613 0.613 0.613 1
Ag18 0.347 0.000 0.000 1
Ag19 0.653 0.000 0.000 1
Ag20 0.000 0.000 0.653 1
Al1 0.739 0.261 0.739 1
Al2 0.739 0.739 0.261 1
Al3 0.261 0.261 0.739 1
Al4 0.261 0.739 0.739 1
Al5 0.739 0.261 0.261 1
Al6 0.261 0.739 0.261 1
Sr1 0.750 0.750 0.750 1
Sr2 0.250 0.250 0.250 1
```

Output
The calculation puts the total energy at -2.96 eV/atom. The calculated formation energy is -0.06 kcal/mol of atoms. Its crystal system is cubic. The space group is Fm-3m. Its total moment is 0.00 μB/f.u.

---

VASP calculation (PBE) on SrAl6Ag12 after structural relaxation.

The structure in CIF format:
```
data_SrAl6Ag12
_chemical_formula_sum 'Sr1 Al6 Ag12'
_cell_length_a 7.506
_cell_length_b 7.506
_cell_length_c 7.506
_cell_angle_alpha 104.67
_cell_angle_beta 104.67
_cell_angle_gamma 104.67
_symmetry_space_group_name_H-M 'P 1'
_symmetry_Int_Tables_number 1
loop_
_symmetry_equiv_pos_as_xyz
'x,y,z'
loop_
_atom_site_label
_atom_site_fract_x
_atom_site_fract_y
_atom_site_fract_z
_atom_site_occupancy
Al1 0.278 0.697 0.278 1
Al2 0.303 0.722 0.722 1
Al3 0.278 0.278 0.697 1
Al4 0.722 0.722 0.303 1
Al5 0.722 0.303 0.722 1
Al6 0.697 0.278 0.278 1
Ag1 0.883 0.117 0.500 1
Ag2 0.393 0.137 0.393 1
Ag3 0.863 0.607 0.607 1
Ag4 0.883 0.500 0.117 1
Ag5 0.137 0.393 0.393 1
Ag6 0.117 0.883 0.500 1
Ag7 0.500 0.117 0.883 1
Ag8 0.117 0.500 0.883 1
Ag9 0.607 0.863 0.607 1
Ag10 0.500 0.883 0.117 1
Ag11 0.607 0.607 0.863 1
Ag12 0.393 0.393 0.137 1
Sr1 0.000 0.000 0.000 1
```

Output
The calculation puts the total energy at -3.10 eV/atom. The calculated formation energy is -0.72 kcal/mol of atoms. Its crystal system is trigonal. The space group is R-3m. Its total moment is 0.00 μB/f.u.

---

VASP calculation (PBE) on SrAl2Ag2 after structural relaxation.

The structure in CIF format:
```
data_SrAl2Ag2
_chemical_formula_sum 'Sr1 Al2 Ag2'
_cell_length_a 4.670
_cell_length_b 4.670
_cell_length_c 6.174
_cell_angle_alpha 67.78
_cell_angle_beta 67.78
_cell_angle_gamma 90.00
_symmetry_space_group_name_H-M 'P 1'
_symmetry_Int_Tables_number 1
loop_
_symmetry_equiv_pos_as_xyz
'x,y,z'
loop_
_atom_site_label
_atom_site_fract_x
_atom_site_fract_y
_atom_site_fract_z
_atom_site_occupancy
Al1 0.373 0.373 0.254 1
Al2 0.627 0.627 0.746 1
Sr1 0.000 0.000 0.000 1
Ag1 0.250 0.750 0.500 1
Ag2 0.750 0.250 0.500 1
```

Output
The calculation puts the total energy at -3.21 eV/atom. The calculated formation energy is -5.54 kcal/mol of atoms. Its crystal system is tetragonal. The space group is I4/mmm. Its total moment is 0.00 μB/f.u.

---

VASP calculation (PBE) on Sr3Al3Ag after structural relaxation.

The structure in CIF format:
```
data_Sr3Al3Ag
_chemical_formula_sum 'Sr6 Al6 Ag2'
_cell_length_a 4.935
_cell_length_b 6.197
_cell_length_c 15.055
_cell_angle_alpha 87.35
_cell_angle_beta 80.57
_cell_angle_gamma 66.54
_symmetry_space_group_name_H-M 'P 1'
_symmetry_Int_Tables_number 1
loop_
_symmetry_equiv_pos_as_xyz
'x,y,z'
loop_
_atom_site_label
_atom_site_fract_x
_atom_site_fract_y
_atom_site_fract_z
_atom_site_occupancy
Sr1 0.242 0.284 0.232 1
Sr2 0.394 0.288 0.924 1
Sr3 0.606 0.712 0.076 1
Sr4 0.758 0.716 0.768 1
Sr5 0.463 0.691 0.382 1
Sr6 0.537 0.309 0.618 1
Al1 0.131 0.275 0.463 1
Al2 0.060 0.115 0.765 1
Al3 0.940 0.885 0.235 1
Al4 0.869 0.725 0.537 1
Al5 0.905 0.111 0.080 1
Al6 0.095 0.889 0.920 1
Ag1 0.249 0.903 0.598 1
Ag2 0.751 0.097 0.402 1
```

Output
The calculation puts the total energy at -2.93 eV/atom. The calculated formation energy is -4.53 kcal/mol of atoms. Its crystal system is monoclinic. The space group is C2/m. Its total moment is 0.00 μB/f.u.

---

Q: Which formula does entry 1 have?
A: SrAl3Ag10